First-principles (PBE-GGA) data for a geometry-optimized Mg3Tl2Pb3 structure, as listed in Alexandria.

POSCAR file:
```
Mg3Tl2Pb3
1.0
-5.339 -2.844 0.501
2.081 -3.757 -4.290
2.068 -4.088 3.982
Pb Tl Mg
3 2 3
Direct
0.500 0.259 0.259 Pb
0.740 0.500 0.740 Pb
0.259 0.741 0.500 Pb
0.801 0.801 0.199 Tl
0.199 0.199 0.801 Tl
0.702 0.000 0.702 Mg
0.298 0.702 0.000 Mg
0.000 0.298 0.298 Mg
```

Results
As for the total magnetization: 0.0 μB per cell. For the calculated formation energy, the calculation gives 0.006 eV per atom. The calculation puts the distance to the lowest polymorph of the same formula at 26 meV per atom. The value obtained for the density is 8.25 g cm⁻³.

---

First-principles (PBE-GGA) data for a geometry-optimized MgTl5Pb2 structure, as listed in Alexandria.

POSCAR file:
```
MgTl5Pb2
1.0
-4.826 0.542 2.201
-0.195 -6.687 1.220
5.582 1.983 11.753
Pb Tl Mg
4 10 2
Direct
0.500 0.190 0.597 Pb
0.500 0.690 0.903 Pb
0.500 0.310 0.097 Pb
0.500 0.810 0.403 Pb
0.000 0.452 0.760 Tl
0.000 0.000 0.000 Tl
0.500 0.184 0.852 Tl
0.000 0.548 0.240 Tl
0.500 0.684 0.648 Tl
0.000 0.952 0.740 Tl
0.000 0.500 0.500 Tl
0.500 0.816 0.148 Tl
0.000 0.048 0.260 Tl
0.500 0.316 0.352 Tl
0.000 0.000 0.500 Mg
0.000 0.500 0.000 Mg
```

Results
As for the total magnetization: 0.0 μB per cell. For the calculated formation energy, the calculation gives 0.008 eV per atom. The value obtained for the density is 10.17 g cm⁻³.